# 1
Pr10Dy4Ho | PBE-GGA | relaxed

a b c (Å): 7.8708 9.6307 9.6307
angles (deg): 80.39 65.88 65.88
Last column: nearest neighbours and their distance in Å.
Positions (direct):
Pr (0.2500, 0.5000, 0.5000)  4 Dy 3.41
Pr (0.6507, 0.2996, 0.8993)  3 Dy 3.40-3.41, 1 Ho 3.40
Pr (0.0497, 0.1007, 0.2996)  3 Dy 3.40-3.41, 1 Ho 3.40
Pr (0.4500, 0.8993, 0.7004)  3 Dy 3.40-3.41, 1 Ho 3.40
Pr (0.8496, 0.7004, 0.1007)  3 Dy 3.40-3.41, 1 Ho 3.40
Pr (0.3493, 0.7004, 0.1007)  3 Dy 3.40-3.41, 1 Ho 3.40
Pr (0.7500, 0.5000, 0.5000)  4 Dy 3.41
Pr (0.1504, 0.2996, 0.8993)  3 Dy 3.40-3.41, 1 Ho 3.40
Pr (0.5500, 0.1007, 0.2996)  3 Dy 3.40-3.41, 1 Ho 3.40
Pr (0.9503, 0.8993, 0.7004)  3 Dy 3.40-3.41, 1 Ho 3.40
Dy (0.3996, 0.8008, 0.3999)  8 Pr 3.40-3.41
Dy (0.7996, 0.6001, 0.8008)  8 Pr 3.40-3.41
Dy (0.2004, 0.3999, 0.1992)  8 Pr 3.40-3.41
Dy (0.6004, 0.1992, 0.6001)  8 Pr 3.40-3.41
Ho (0.0000, 0.0000, 0.0000)  8 Pr 3.40

Properties
ρ = 6.073 g cm⁻³
space-group type = No. 87
magnetic moment = 0.0 μB/f.u.
total energy = -4.041 eV/atom
energy of formation = 0.68 eV per atom

=====

# 2
PrDy3Ho12 | PBE-GGA | relaxed

a b c (Å): 5.0039 5.0039 20.0191
angles (deg): 90.00 90.00 90.00
Last column: nearest neighbours and their distance in Å.
Positions (direct):
Pr (0.0000, 0.0000, 0.0000)  12 Ho 3.54-3.57
Dy (0.0000, 0.0000, 0.2512)  12 Ho 3.52-3.54
Dy (0.0000, 0.0000, 0.5000)  12 Ho 3.53-3.54
Dy (0.0000, 0.0000, 0.7488)  12 Ho 3.52-3.54
Ho (0.5000, 0.5000, 0.0000)  4 Pr 3.54, 8 Ho 3.57
Ho (0.5000, 0.5000, 0.2518)  8 Ho 3.52-3.53, 4 Dy 3.54
Ho (0.5000, 0.5000, 0.5000)  8 Ho 3.53, 4 Dy 3.54
Ho (0.5000, 0.5000, 0.7482)  8 Ho 3.52-3.53, 4 Dy 3.54
Ho (0.5000, 0.0000, 0.1272)  2 Dy 3.52, 8 Ho 3.53-3.57, 2 Pr 3.57
Ho (0.5000, 0.0000, 0.3757)  8 Ho 3.52-3.54, 4 Dy 3.53
Ho (0.5000, 0.0000, 0.6243)  8 Ho 3.52-3.54, 4 Dy 3.53
Ho (0.5000, 0.0000, 0.8728)  2 Dy 3.52, 8 Ho 3.53-3.57, 2 Pr 3.57
Ho (0.0000, 0.5000, 0.1272)  2 Dy 3.52, 8 Ho 3.53-3.57, 2 Pr 3.57
Ho (0.0000, 0.5000, 0.3757)  8 Ho 3.52-3.54, 4 Dy 3.53
Ho (0.0000, 0.5000, 0.6243)  8 Ho 3.52-3.54, 4 Dy 3.53
Ho (0.0000, 0.5000, 0.8728)  2 Dy 3.52, 8 Ho 3.53-3.57, 2 Pr 3.57

Properties
ρ = 8.638 g cm⁻³
space-group type = No. 123
magnetic moment = 0.0 μB/f.u.
total energy = -4.574 eV/atom
energy of formation = 0.02 eV per atom

=====

# 3
Pr4Dy7Ho | PBE-GGA | relaxed

a b c (Å): 6.8810 8.8345 9.1275
angles (deg): 84.47 94.91 47.56
Last column: nearest neighbours and their distance in Å.
Positions (direct):
Pr (0.5498, 0.6394, 0.2836)  8 Dy 3.36-3.71, 1 Ho 3.41, 2 Pr 3.55-3.56
Pr (0.4502, 0.3606, 0.7164)  8 Dy 3.36-3.71, 1 Ho 3.41, 2 Pr 3.55-3.56
Pr (0.7775, 0.8379, 0.6935)  7 Dy 3.39-3.73, 2 Pr 3.55-3.56
Pr (0.2225, 0.1621, 0.3065)  7 Dy 3.39-3.73, 2 Pr 3.55-3.56
Dy (0.7364, 0.5105, 0.9509)  5 Dy 3.39-3.56, 4 Pr 3.40-3.72, 1 Ho 3.50
Dy (0.2636, 0.4895, 0.0491)  5 Dy 3.39-3.56, 4 Pr 3.40-3.72, 1 Ho 3.50
Dy (0.9817, 0.3204, 0.6418)  5 Dy 3.40-3.74, 4 Pr 3.49-3.57
Dy (0.0183, 0.6796, 0.3582)  5 Dy 3.40-3.74, 4 Pr 3.49-3.57
Dy (0.2920, 0.8145, 0.6189)  5 Dy 3.31-3.67, 4 Pr 3.36-3.61
Dy (0.5000, 0.0000, 0.0000)  4 Pr 3.39-3.71, 2 Ho 3.44, 4 Dy 3.54-3.74
Dy (0.7080, 0.1855, 0.3811)  5 Dy 3.31-3.67, 4 Pr 3.36-3.61
Ho (0.0000, 0.0000, 0.0000)  2 Pr 3.41, 4 Dy 3.44-3.50

Properties
ρ = 7.768 g cm⁻³
space-group type = No. 2
magnetic moment = 0.0 μB/f.u.
relative energy among the computed polymorphs = 0.0 meV per atom
total energy = -4.571 eV/atom
energy of formation = 0.09 eV per atom

=====

# 4
Pr2DyHo7 | PBE-GGA | relaxed

a b c (Å): 6.1650 10.6652 7.9729
angles (deg): 107.39 105.00 39.79
Last column: nearest neighbours and their distance in Å.
Positions (direct):
Pr (0.4043, 0.7979, 0.3984)  10 Ho 3.55-3.59, 1 Dy 3.56, 1 Pr 3.61
Pr (0.5957, 0.2021, 0.6016)  10 Ho 3.55-3.59, 1 Dy 3.56, 1 Pr 3.61
Dy (0.0000, 0.0000, 0.0000)  10 Ho 3.55-3.56, 2 Pr 3.56
Ho (0.1011, 0.6998, 0.6017)  4 Pr 3.55-3.58, 1 Dy 3.55, 7 Ho 3.55-3.59
Ho (0.8989, 0.3002, 0.3983)  4 Pr 3.55-3.58, 1 Dy 3.55, 7 Ho 3.55-3.59
Ho (0.7976, 0.6011, 0.8030)  9 Ho 3.53-3.59, 1 Dy 3.55, 2 Pr 3.57-3.59
Ho (0.2024, 0.3989, 0.1970)  9 Ho 3.53-3.59, 1 Dy 3.55, 2 Pr 3.57-3.59
Ho (0.7015, 0.8990, 0.1977)  7 Ho 3.53-3.59, 2 Dy 3.55-3.56, 3 Pr 3.56-3.59
Ho (0.2985, 0.1010, 0.8023)  7 Ho 3.53-3.59, 2 Dy 3.55-3.56, 3 Pr 3.56-3.59
Ho (0.5000, 0.5000, 0.0000)  8 Ho 3.54-3.56, 2 Pr 3.55, 2 Dy 3.56

Properties
ρ = 8.302 g cm⁻³
space-group type = No. 2
magnetic moment = 0.0 μB/f.u.
relative energy among the computed polymorphs = 0.0 meV per atom
total energy = -4.599 eV/atom
energy of formation = 0.02 eV per atom